[1]
TiNiTe2 | PBE-GGA | relaxed

- Energy relative to the elements, uncorrected: -60 kJ per mole of atoms

Cell lengths 6.4096, 7.8893, 8.5433 Å; angles 117.49, 90.00, 90.00 degrees
Fractional coordinates of all 16 atoms:
1 Ti 0.9992 0.2874 0.5008
2 Te 0.2495 0.9017 0.8033
3 Te 0.7505 0.0983 0.1967
4 Te 0.2520 0.8940 0.2909
5 Te 0.2480 0.3940 0.2909
6 Te 0.7480 0.1060 0.7091
7 Ni 0.6420 0.4432 0.3866
8 Ti 0.5008 0.7874 0.5008
9 Te 0.2505 0.4017 0.8033
10 Ni 0.8580 0.9432 0.3866
11 Ti 0.0008 0.7126 0.4992
12 Ni 0.1420 0.0568 0.6134
13 Ti 0.4992 0.2126 0.4992
14 Te 0.7495 0.5983 0.1967
15 Ni 0.3580 0.5568 0.6134
16 Te 0.7520 0.6060 0.7091


[2]
TcH2O | PBE-GGA | relaxed

- Energy above the lowest structure with this stoichiometry: 0 meV per atom

Cell lengths 4.3413, 4.3413, 4.3457 Å; angles 60.03, 60.03, 90.00 degrees
Fractional coordinates of all 8 atoms:
1 O 0.2500 0.7500 0.5000
2 H 0.8750 0.6249 0.7500
3 H 0.3751 0.6250 0.2500
4 O 0.5000 0.5000 0.0000
5 H 0.3749 0.1250 0.2500
6 H 0.3750 0.6251 0.7500
7 Tc 0.0000 0.0000 0.0000
8 Tc 0.7500 0.2500 0.5000


[3]
Na4LiIr2 | PBE-GGA | relaxed

- Energy: -2.77 eV/atom

Cell lengths 5.1898, 5.1898, 8.0841 Å; angles 71.28, 71.28, 90.00 degrees
Fractional coordinates of all 7 atoms:
1 Na 0.5000 0.0000 0.0000
2 Na 0.2060 0.2060 0.5879
3 Ir 0.5833 0.5833 0.8333
4 Li 0.0000 0.0000 0.0000
5 Ir 0.4167 0.4167 0.1667
6 Na 0.7940 0.7940 0.4121
7 Na 0.0000 0.5000 0.0000


[4]
Gd2RuBr | PBE-GGA | relaxed

- Energy above the lowest structure with this stoichiometry: 16 meV per atom
- Energy relative to the elements, uncorrected: -75 kJ per mole of atoms

Cell lengths 3.4228, 3.4228, 8.1636 Å; angles 90.00, 90.00, 90.00 degrees
Fractional coordinates of all 4 atoms:
1 Gd 0.0000 0.0000 0.7925
2 Ru 0.5000 0.5000 0.0000
3 Br 0.5000 0.5000 0.5000
4 Gd 0.0000 0.0000 0.2075


[5]
CrAs2Pb | PBE-GGA | relaxed

- Energy: -5.32 eV/atom

Cell lengths 7.6277, 7.6277, 7.6277 Å; angles 28.27, 28.27, 28.27 degrees
Fractional coordinates of all 4 atoms:
1 Pb 0.7514 0.7514 0.7514
2 As 0.2469 0.2469 0.2469
3 Cr 0.5142 0.5142 0.5142
4 As 0.9874 0.9874 0.9874


[6]
BeAs2IrSe | PBE-GGA | relaxed

- Energy above the lowest structure with this stoichiometry: 165 meV per atom
- Energy relative to the elements, uncorrected: 90 kJ per mole of atoms

Cell lengths 4.6564, 4.6564, 5.4519 Å; angles 90.00, 90.00, 90.00 degrees
Fractional coordinates of all 5 atoms:
1 Se 0.0000 0.0000 0.5000
2 As 0.0000 0.5000 0.0000
3 As 0.5000 0.0000 0.0000
4 Be 0.5000 0.5000 0.5000
5 Ir 0.0000 0.0000 0.0000


[7]
Tb3Ho6Er2Pb | PBE-GGA | relaxed

- Energy: -4.56 eV/atom

Cell lengths 6.0807, 6.0807, 11.6089 Å; angles 95.06, 95.06, 120.03 degrees
Fractional coordinates of all 12 atoms:
1 Tb 0.1673 0.8327 0.5000
2 Ho 0.7520 0.7520 0.2489
3 Ho 0.0813 0.4107 0.2469
4 Ho 0.4107 0.0813 0.2469
5 Pb 0.0000 0.0000 0.0000
6 Tb 0.5000 0.5000 0.5000
7 Er 0.3342 0.6658 0.0000
8 Tb 0.8327 0.1673 0.5000
9 Ho 0.9187 0.5893 0.7531
10 Er 0.6658 0.3342 0.0000
11 Ho 0.2480 0.2480 0.7511
12 Ho 0.5893 0.9187 0.7531


[8]
LiCdAgPb | PBE-GGA | relaxed

- Energy: -2.47 eV/atom

Cell lengths 4.5352, 4.5353, 5.2310 Å; angles 115.69, 115.69, 90.00 degrees
Fractional coordinates of all 4 atoms:
1 Pb 0.2500 0.7500 0.5000
2 Cd 0.7500 0.2500 0.5000
3 Li 0.5000 0.5000 0.0000
4 Ag 0.0000 0.0000 0.0000


[9]
KRh3Pb2O8 | PBE-GGA | relaxed

- Energy relative to the elements, uncorrected: -90 kJ per mole of atoms

Cell lengths 6.4508, 6.4508, 6.8716 Å; angles 62.01, 62.01, 60.00 degrees
Fractional coordinates of all 14 atoms:
1 O 0.7510 0.7510 0.1809
2 O 0.7222 0.7222 0.8333
3 K 0.8663 0.8663 0.4010
4 O 0.2511 0.6893 0.8084
5 Rh 0.9933 0.5015 0.0037
6 O 0.7510 0.3172 0.1809
7 Pb 0.1198 0.1198 0.6407
8 O 0.3172 0.7510 0.1809
9 Rh 0.5015 0.9933 0.0037
10 O 0.2759 0.2759 0.1722
11 O 0.6893 0.2511 0.8084
12 O 0.2511 0.2511 0.8084
13 Rh 0.5015 0.5015 0.0037
14 Pb 0.5013 0.5013 0.4960


[10]
PmNpMn2 | PBE-GGA | relaxed

- Energy: -8.82 eV/atom

Cell lengths 3.3269, 3.3269, 7.0576 Å; angles 90.00, 90.00, 90.00 degrees
Fractional coordinates of all 4 atoms:
1 Mn 0.0000 0.0000 0.8095
2 Np 0.5000 0.5000 0.0000
3 Mn 0.0000 0.0000 0.1905
4 Pm 0.5000 0.5000 0.5000


[11]
V2BOsW | PBE-GGA | relaxed

- Energy: -9.69 eV/atom

Cell lengths 3.9953, 4.1865, 3.9953 Å; angles 90.00, 90.00, 90.00 degrees
Fractional coordinates of all 5 atoms:
1 Os 0.5000 0.5000 0.5000
2 V 0.0000 0.0000 0.5000
3 W 0.0000 0.5000 0.0000
4 V 0.5000 0.0000 0.0000
5 B 0.0000 0.0000 0.0000


[12]
ScBe2Al | PBE-GGA | relaxed

- Energy: -4.15 eV/atom

Cell lengths 5.3934, 4.9382, 2.6340 Å; angles 81.01, 78.33, 119.48 degrees
Fractional coordinates of all 4 atoms:
1 Be 0.5000 0.0000 0.5000
2 Be 0.0000 0.0000 0.0000
3 Sc 0.0000 0.5000 0.5000
4 Al 0.5000 0.5000 0.0000


[13]
KMgTl14 | PBE-GGA | relaxed

- Energy: -2.24 eV/atom

Cell lengths 6.8869, 6.8869, 10.9215 Å; angles 90.00, 90.00, 108.37 degrees
Fractional coordinates of all 16 atoms:
1 Tl 0.8489 0.5878 0.2513
2 Mg 0.5615 0.4385 0.5000
3 K 0.1078 0.8922 0.5000
4 Tl 0.1826 0.3777 0.0000
5 Tl 0.9001 0.0999 0.7668
6 Tl 0.0405 0.3746 0.5000
7 Tl 0.6254 0.9595 0.5000
8 Tl 0.4122 0.1511 0.7487
9 Tl 0.1380 0.8620 0.0000
10 Tl 0.8489 0.5878 0.7487
11 Tl 0.6223 0.8174 0.0000
12 Tl 0.9001 0.0999 0.2332
13 Tl 0.4122 0.1511 0.2513
14 Tl 0.6728 0.3272 0.0000
15 Tl 0.3633 0.6367 0.7319
16 Tl 0.3633 0.6367 0.2681


[14]
CdSiW2 | PBE-GGA | relaxed

- Energy above the lowest structure with this stoichiometry: 284 meV per atom
- Energy relative to the elements, uncorrected: 62 kJ per mole of atoms

Cell lengths 4.5136, 4.5136, 4.5136 Å; angles 60.00, 60.00, 60.00 degrees
Fractional coordinates of all 4 atoms:
1 Cd 0.5000 0.5000 0.5000
2 W 0.0000 0.0000 0.0000
3 Si 0.2500 0.2500 0.2500
4 W 0.7500 0.7500 0.7500


[15]
Tm3SnH | PBE-GGA | relaxed

- Energy above the lowest structure with this stoichiometry: 68 meV per atom

Cell lengths 3.5148, 7.6482, 8.5109 Å; angles 89.72, 90.00, 90.00 degrees
Fractional coordinates of all 10 atoms:
1 H 0.7500 0.1322 0.6004
2 Tm 0.7500 0.2174 0.9474
3 Sn 0.7500 0.6104 0.7835
4 Tm 0.2500 0.3467 0.6047
5 Tm 0.7500 0.6533 0.3953
6 H 0.2500 0.8678 0.3996
7 Tm 0.7500 0.0646 0.3385
8 Tm 0.2500 0.9354 0.6615
9 Sn 0.2500 0.3896 0.2165
10 Tm 0.2500 0.7826 0.0526


[16]
PrHSe2O6 | PBE-GGA | relaxed

- Energy: -6.05 eV/atom

Cell lengths 7.1397, 8.4949, 19.6274 Å; angles 90.00, 90.00, 90.00 degrees
Fractional coordinates of all 80 atoms:
1 Pr 0.5850 0.4378 0.5868
2 Se 0.5665 0.3123 0.9503
3 O 0.5207 0.7003 0.6527
4 O 0.2640 0.8123 0.4837
5 Se 0.5704 0.6631 0.7362
6 O 0.4793 0.2003 0.6527
7 O 0.7613 0.9616 0.6045
8 Pr 0.5850 0.0622 0.0868
9 O 0.6322 0.0000 0.4707
10 Se 0.9451 0.6209 0.3537
11 O 0.6322 0.5000 0.9707
12 Pr 0.4150 0.9378 0.5868
13 H 0.7727 0.0893 0.2884
14 H 0.7189 0.3268 0.2917
15 O 0.6758 0.0142 0.2232
16 O 0.6758 0.4858 0.7232
17 O 0.3242 0.9858 0.7232
18 Se 0.9298 0.0857 0.6385
19 O 0.2387 0.0384 0.1045
20 O 0.5963 0.7075 0.5175
21 Pr 0.0835 0.1612 0.0008
22 O 0.5963 0.7925 0.0175
23 Pr 0.0835 0.3388 0.5008
24 Se 0.0702 0.9143 0.1385
25 O 0.1854 0.8339 0.8259
26 O 0.9054 0.5666 0.5722
27 Se 0.0702 0.5857 0.6385
28 O 0.3242 0.5142 0.2232
29 Se 0.5704 0.8369 0.2362
30 O 0.0946 0.0666 0.5722
31 H 0.7727 0.4107 0.7884
32 H 0.2273 0.9107 0.7884
33 O 0.2387 0.4616 0.6045
34 Se 0.9451 0.8791 0.8537
35 O 0.8146 0.1661 0.3259
36 O 0.1348 0.7739 0.6186
37 O 0.4037 0.2075 0.5175
38 Pr 0.9165 0.6612 0.0008
39 O 0.8652 0.2739 0.6186
40 O 0.6498 0.0853 0.7679
41 O 0.8146 0.3339 0.8259
42 O 0.7360 0.1877 0.9837
43 O 0.9776 0.5770 0.4379
44 O 0.3502 0.5853 0.7679
45 O 0.3678 0.0000 0.9707
46 O 0.9054 0.9334 0.0722
47 H 0.7189 0.1732 0.7917
48 O 0.7613 0.5384 0.1045
49 H 0.2811 0.8268 0.2917
50 O 0.8649 0.8060 0.3651
51 Se 0.9298 0.4143 0.1385
52 Se 0.5665 0.1877 0.4503
53 Pr 0.9165 0.8388 0.5008
54 Se 0.4335 0.6877 0.4503
55 O 0.0224 0.0770 0.4379
56 O 0.4793 0.2997 0.1527
57 O 0.8652 0.2261 0.1186
58 Se 0.4296 0.3369 0.2362
59 O 0.9776 0.9230 0.9379
60 H 0.2273 0.5893 0.2884
61 Se 0.4335 0.8123 0.9503
62 O 0.5207 0.7997 0.1527
63 Pr 0.4150 0.5622 0.0868
64 O 0.1348 0.7261 0.1186
65 Se 0.4296 0.1631 0.7362
66 O 0.0946 0.4334 0.0722
67 O 0.1854 0.6661 0.3259
68 O 0.4037 0.2925 0.0175
69 O 0.7360 0.3123 0.4837
70 O 0.1351 0.1940 0.8651
71 Se 0.0549 0.1209 0.3537
72 H 0.2811 0.6732 0.7917
73 O 0.8649 0.6940 0.8651
74 O 0.0224 0.4230 0.9379
75 O 0.3502 0.9147 0.2679
76 O 0.6498 0.4147 0.2679
77 Se 0.0549 0.3791 0.8537
78 O 0.3678 0.5000 0.4707
79 O 0.2640 0.6877 0.9837
80 O 0.1351 0.3060 0.3651


[17]
CuSbP | PBE-GGA | relaxed

- Energy above the lowest structure with this stoichiometry: 360 meV per atom
- Energy relative to the elements, uncorrected: 52 kJ per mole of atoms

Cell lengths 4.6972, 4.6972, 5.7144 Å; angles 90.00, 90.00, 120.00 degrees
Fractional coordinates of all 6 atoms:
1 Sb 0.6667 0.3333 0.2500
2 Cu 0.3333 0.6667 0.2500
3 Cu 0.6667 0.3333 0.7500
4 Sb 0.3333 0.6667 0.7500
5 P 0.0000 0.0000 0.0000
6 P 0.0000 0.0000 0.5000


[18]
Sr2SnBiN | PBE-GGA | relaxed

- Energy relative to the elements, uncorrected: -54 kJ per mole of atoms

Cell lengths 5.3188, 5.3188, 4.7513 Å; angles 90.00, 90.00, 90.00 degrees
Fractional coordinates of all 5 atoms:
1 Bi 0.5000 0.5000 0.5000
2 N 0.0000 0.0000 0.0000
3 Sr 0.0000 0.5000 0.0000
4 Sn 0.0000 0.0000 0.5000
5 Sr 0.5000 0.0000 0.0000


[19]
LiTlCoC2 | PBE-GGA | relaxed

- Energy above the lowest structure with this stoichiometry: 0 meV per atom

Cell lengths 4.4875, 4.9562, 4.4875 Å; angles 90.00, 90.00, 90.00 degrees
Fractional coordinates of all 5 atoms:
1 C 0.5000 0.0000 0.0000
2 C 0.0000 0.0000 0.5000
3 Co 0.0000 0.5000 0.0000
4 Li 0.5000 0.5000 0.5000
5 Tl 0.0000 0.0000 0.0000


[20]
MgCo3Ni | PBE-GGA | relaxed

- Energy above the lowest structure with this stoichiometry: 0 meV per atom

Cell lengths 4.3081, 4.3081, 4.3081 Å; angles 90.00, 90.00, 90.00 degrees
Fractional coordinates of all 5 atoms:
1 Mg 0.5000 0.5000 0.5000
2 Ni 0.0000 0.0000 0.0000
3 Co 0.5000 0.0000 0.0000
4 Co 0.0000 0.0000 0.5000
5 Co 0.0000 0.5000 0.0000


M_tot? In order: 0.000; 0.000; 0.352; 3.544; 0.953; 0.000; 0.001; 0.000; 0.000; 0.203; 0.000; 0.000; 0.000; 0.000; 0.000; 0.000; 0.000; 0.000; 0.323; 1.204 μB per atom.